Ba2LiAu: relaxed, PBE.

Cell lengths 5.846, 5.846, 5.846 Å; angles 60.00, 60.00, 60.00 degrees
Sites, in units of the cell vectors:
Ba 0.250 0.250 0.250
Ba 0.750 0.750 0.750
Li 0.000 0.000 0.000
Au 0.500 0.500 0.500

## Properties
Symmetry: Fm-3m
Energy above the most stable polymorph in this dataset in kJ per mole of atoms: 11.12

***

V2CrPd8: relaxed, PBE.

Cell lengths 7.250, 7.250, 6.216 Å; angles 105.98, 105.98, 31.58 degrees
Sites, in units of the cell vectors:
V 0.224 0.224 0.148
V 0.776 0.776 0.852
Cr 0.500 0.500 0.500
Pd 0.045 0.045 0.232
Pd 0.144 0.144 0.701
Pd 0.319 0.319 0.584
Pd 0.401 0.401 0.044
Pd 0.599 0.599 0.956
Pd 0.681 0.681 0.416
Pd 0.856 0.856 0.299
Pd 0.955 0.955 0.768

## Properties
Symmetry: C2/m

***

ScZnCr2Sn: relaxed, PBE.

Cell lengths 5.054, 5.054, 4.906 Å; angles 90.00, 90.00, 90.00 degrees
Sites, in units of the cell vectors:
Sc 0.000 0.000 0.000
Zn 0.500 0.500 0.000
Cr 0.000 0.500 0.500
Cr 0.500 0.000 0.500
Sn 0.500 0.500 0.500

## Properties
Symmetry: P4/mmm
Energy above the most stable polymorph in this dataset in kJ per mole of atoms: 24.74

***

Energy relative to the elements (eV per atom)
-0.295 -0.180 1.028